1.
## Pm2InPb4 (PBE)

Data for crystalline Pm2InPb4 at its relaxed geometry.

The calculation puts the energy of formation from the pure elements at -0.35 eV/atom. The space group is No. 65. The value obtained for the size of the total moment is 0.0 μB per formula unit.

```
7
Lattice="4.659 -4.923 0.000 4.659 4.923 0.000 0.000 0.000 4.717" Properties=species:S:1:pos:R:3 pbc="T T T"
Pm 4.659 2.540 0.000
Pm 4.659 -2.540 0.000
In 0.000 0.000 2.358
Pb 2.330 2.461 2.358
Pb 2.490 0.000 0.000
Pb 2.330 -2.461 2.358
Pb 6.828 0.000 0.000
```


2.
## Pm6InPb (PBE)

Data for crystalline Pm6InPb at its relaxed geometry.

The calculation puts the energy of formation from the pure elements at -0.31 eV/atom. The space group is No. 123. The value obtained for the size of the total moment is 0.0 μB per formula unit.

```
8
Lattice="4.964 0.000 0.000 0.000 4.964 0.000 0.000 0.000 9.911" Properties=species:S:1:pos:R:3 pbc="T T T"
Pm 0.000 0.000 0.000
Pm 0.000 0.000 4.955
Pm 0.000 2.482 2.465
Pm 0.000 2.482 7.446
Pm 2.482 0.000 2.465
Pm 2.482 0.000 7.446
In 2.482 2.482 0.000
Pb 2.482 2.482 4.955
```


- The lowest energy of formation from the pure elements belongs to which entry?
  Pm2InPb4


- Number 1 is which compound?
  Pm2InPb4